The following is a PBE-GGA calculation of a relaxed Ba3Zn2As2H4 crystal, from Alexandria.

Structure (CIF):
```
data_Ba3Zn2As2H4
_chemical_formula_sum 'Ba6 Zn4 As4 H8'
_space_group_name_H-M_alt 'I 4/m m m'
_space_group_IT_number 139
_space_group_name_Hall '-I 4 2'
_cell_length_a 4.4631
_cell_length_b 4.4631
_cell_length_c 23.3633
_cell_angle_alpha 90.00
_cell_angle_beta 90.00
_cell_angle_gamma 90.00
loop_
_atom_site_label
_atom_site_type_symbol
_atom_site_fract_x
_atom_site_fract_y
_atom_site_fract_z
Ba1 Ba 0.0000 0.0000 0.0000
Ba2 Ba 0.0000 0.0000 0.1712
Zn1 Zn 0.0000 0.0000 0.4147
As1 As 0.0000 0.0000 0.3095
H1 H 0.0000 0.5000 0.0686
```

Results
DFT total energy: -3.166 eV per atom
Fermi-level density of states: 11.2 states/eV per cell
Total magnetization: 0.00 Bohr magnetons per cell